{
  "formula": "NaLi2Nd",
  "functional": "PBE-GGA",
  "state": "relaxed",
  "space_group": "R-3m",
  "e_form_ev_per_atom": 0.1919,
  "dos_ef_per_ev_fu": 2.8,
  "e_tot_ev_per_atom": -2.287,
  "vol_a3_per_atom": 29.46,
  "magmom_total_mub_per_cell": 0.0,
  "lattice_angstrom": [[-0.107, 3.079, -1.324], [-1.667, 2.446, 1.577], [9.462, 4.792, 6.133]],
  "species": ["Na", "Nd", "Li", "Li"],
  "frac_coords": [[0.500, 0.500, 0.500], [0.000, 0.000, 0.000], [0.086, 0.086, 0.741], [0.914, 0.914, 0.259]]
}